# Tl4Se (PBE, optimized geometry)
# total magnetization = 0.0000 μB/atom
# calculated total energy = -0.1916 Ry/atom
# V = 383 Å³ per cell
# formation energy without anion corrections = -0.02 eV/atom
# D(E_F) = 0.770 states/eV per atom
# energy above the lowest structure with this stoichiometry = 0.71 eV/f.u.
data_Tl4Se
_cell_length_a 7.261
_cell_length_b 7.261
_cell_length_c 7.261
_cell_angle_alpha 90.00
_cell_angle_beta 90.00
_cell_angle_gamma 90.00
_symmetry_space_group_name_H-M 'P 1'
_symmetry_Int_Tables_number 1
_symmetry_space_group_name_Hall 'P 1'
loop_
_atom_site_label
_atom_site_type_symbol
_atom_site_fract_x
_atom_site_fract_y
_atom_site_fract_z
Tl1 Tl 0.250 0.250 0.250
Tl2 Tl 0.250 0.250 0.750
Tl3 Tl 0.250 0.750 0.250
Tl4 Tl 0.250 0.750 0.750
Tl5 Tl 0.750 0.250 0.250
Tl6 Tl 0.750 0.250 0.750
Tl7 Tl 0.750 0.750 0.250
Tl8 Tl 0.750 0.750 0.750
Se1 Se 0.000 0.000 0.000
Se2 Se 0.500 0.500 0.500